Computed, not measured: a geometry-optimized BeZnSi2Ni structure at the PBE-GGA level of DFT.

Values from the calculation:
As for the uncorrected formation energy: 537 meV per atom.

Lattice parameters (Å, degrees): 4.213 4.213 4.054 90.00 90.00 90.00
Space group P4/mmm (No. 123)
One atom of each set of equivalent atoms:
Be: 0.000 0.000 0.000 (multiplicity 1)
Zn: 0.500 0.500 0.500 (multiplicity 1)
Si: 0.000 0.500 0.000 (multiplicity 2)
Ni: 0.000 0.000 0.500 (multiplicity 1)

=====

Computed, not measured: a geometry-optimized ZrBeSi2Ni4 structure at the PBE-GGA level of DFT.

Values from the calculation:
As for the uncorrected formation energy: -606 meV per atom.

Lattice parameters (Å, degrees): 3.8656 3.8656 22.5553 90.00 90.00 120.00
Space group R-3m (No. 166, hexagonal axes)
One atom of each set of equivalent atoms:
Zr: 0.0000 0.0000 0.0000 (multiplicity 3)
Be: 0.0000 0.0000 0.5000 (multiplicity 3)
Si: 0.0000 0.0000 0.2433 (multiplicity 6)
Ni: 0.0000 0.0000 0.1349 (multiplicity 6)
Ni: 0.0000 0.0000 0.4050 (multiplicity 6)

=====

Computed, not measured: a geometry-optimized ZrBeSi2Ni structure at the PBE-GGA level of DFT.

Values from the calculation:
As for the uncorrected formation energy: 1480 meV per atom.

Lattice parameters (Å, degrees): 5.036 5.036 4.615 90.00 90.00 90.00
Space group P4/mmm (No. 123)
One atom of each set of equivalent atoms:
Zr: 0.000 0.000 0.000 (multiplicity 1)
Be: 0.500 0.500 0.500 (multiplicity 1)
Si: 0.000 0.500 0.000 (multiplicity 2)
Ni: 0.000 0.000 0.500 (multiplicity 1)

=====

Computed, not measured: a geometry-optimized Sm2BeNi structure at the PBE-GGA level of DFT.

Values from the calculation:
Its formation energy is -55 meV per atom.

Lattice parameters (Å, degrees): 4.891 4.891 3.489 90.00 90.00 90.00
Space group P4/mmm (No. 123)
One atom of each set of equivalent atoms:
Sm: 0.000 0.500 0.000 (multiplicity 2)
Be: 0.000 0.000 0.500 (multiplicity 1)
Ni: 0.500 0.500 0.500 (multiplicity 1)

=====

Computed, not measured: a geometry-optimized SmBeNi structure at the PBE-GGA level of DFT.

Values from the calculation:
For the relative energy among the computed polymorphs, the calculation gives 0 meV/atom. Its formation energy is -214 meV per atom.

Lattice parameters (Å, degrees): 3.9564 3.9564 3.8487 90.00 90.00 120.00
Space group P-6m2 (No. 187)
One atom of each set of equivalent atoms:
Sm: 0.0000 0.0000 0.0000 (multiplicity 1)
Be: 0.3333 0.6667 0.5000 (multiplicity 1)
Ni: 0.6667 0.3333 0.5000 (multiplicity 1)

=====

Computed, not measured: a geometry-optimized SmBeNi structure at the PBE-GGA level of DFT.

Values from the calculation:
For the relative energy among the computed polymorphs, the calculation gives 155 meV/atom. Its formation energy is -59 meV per atom.

Lattice parameters (Å, degrees): 6.9912 6.9912 7.0944 90.00 90.00 120.00
Space group P-62c (No. 190)
One atom of each set of equivalent atoms:
Sm: 0.0273 0.6169 0.2500 (multiplicity 6)
Be: 0.0000 0.0000 0.2500 (multiplicity 2)
Be: 0.3333 0.6667 0.5560 (multiplicity 4)
Ni: 0.0000 0.2193 0.0000 (multiplicity 6)

=====

Computed, not measured: a geometry-optimized Sm3BeNi3 structure at the PBE-GGA level of DFT.

Values from the calculation:
Its formation energy is -313 meV per atom.

Lattice parameters (Å, degrees): 3.828 10.248 13.663 90.00 90.00 90.00
Space group Cmcm (No. 63)
One atom of each set of equivalent atoms:
Sm: 0.000 0.003 0.250 (multiplicity 4)
Sm: 0.000 0.275 0.605 (multiplicity 8)
Be: 0.000 0.000 0.000 (multiplicity 4)
Ni: 0.000 0.300 0.250 (multiplicity 4)
Ni: 0.000 0.440 0.080 (multiplicity 8)

=====

Computed, not measured: a geometry-optimized SmYBeNi structure at the PBE-GGA level of DFT.

Values from the calculation:
Its formation energy is -83 meV per atom.

Lattice parameters (Å, degrees): 6.881 6.881 6.881 90.00 90.00 90.00
Space group F-43m (No. 216)
One atom of each set of equivalent atoms:
Sm: 0.000 0.000 0.000 (multiplicity 4)
Y: 0.000 0.000 0.500 (multiplicity 4)
Be: 0.250 0.250 0.750 (multiplicity 4)
Ni: 0.250 0.250 0.250 (multiplicity 4)

=====

Computed, not measured: a geometry-optimized Sm2BeZn3Ni12 structure at the PBE-GGA level of DFT.

Values from the calculation:
Its formation energy is 62 meV per atom.

Lattice parameters (Å, degrees): 6.1019 6.1019 24.1877 90.00 90.00 120.00
Space group R-3m (No. 166, hexagonal axes)
One atom of each set of equivalent atoms:
Sm: 0.0000 0.0000 0.1585 (multiplicity 6)
Be: 0.0000 0.0000 0.5000 (multiplicity 3)
Zn: 0.0000 0.5000 0.0000 (multiplicity 9)
Ni: 0.0634 0.5317 0.1008 (multiplicity 18)
Ni: 0.0739 0.5370 0.6124 (multiplicity 18)

=====

Computed, not measured: a geometry-optimized Sm2BeZnNi6 structure at the PBE-GGA level of DFT.

Values from the calculation:
Its formation energy is -71 meV per atom.

Lattice parameters (Å, degrees): 8.540 8.540 8.540 90.00 90.00 90.00
Space group Fm-3m (No. 225)
One atom of each set of equivalent atoms:
Sm: 0.250 0.250 0.250 (multiplicity 8)
Be: 0.000 0.000 0.000 (multiplicity 4)
Zn: 0.000 0.000 0.500 (multiplicity 4)
Ni: 0.000 0.000 0.232 (multiplicity 24)

=====

Computed, not measured: a geometry-optimized BeNi2Sn2 structure at the PBE-GGA level of DFT.

Values from the calculation:
Its formation energy is 50 meV per atom.

Lattice parameters (Å, degrees): 6.255 6.255 3.970 90.00 90.00 90.00
Space group P4/mbm (No. 127)
One atom of each set of equivalent atoms:
Be: 0.000 0.000 0.000 (multiplicity 2)
Ni: 0.147 0.353 0.000 (multiplicity 4)
Sn: 0.168 0.668 0.500 (multiplicity 4)

=====

Computed, not measured: a geometry-optimized Be2Ni2Sn structure at the PBE-GGA level of DFT.

Values from the calculation:
For the relative energy among the computed polymorphs, the calculation gives 63 meV/atom. Its formation energy is -68 meV per atom.

Lattice parameters (Å, degrees): 3.192 3.192 12.031 90.00 90.00 90.00
Space group I4/mmm (No. 139)
One atom of each set of equivalent atoms:
Be: 0.000 0.500 0.250 (multiplicity 4)
Ni: 0.000 0.000 0.114 (multiplicity 4)
Sn: 0.000 0.000 0.500 (multiplicity 2)

=====

Going through the records in order, we get total magnetic moment values of 0.00 0.00 0.00 0.00 0.00 0.00 0.00 0.00 0.00 0.00 0.00 0.00 μB/f.u..